[1]
La8SiP3Cl4 | PBE-GGA | relaxed

Geometry as CIF:
```
data_La8SiP3Cl4
_chemical_formula_sum 'La8 Si1 P3 Cl4'
_cell_length_a 8.5868
_cell_length_b 8.5868
_cell_length_c 8.5868
_cell_angle_alpha 59.33
_cell_angle_beta 59.33
_cell_angle_gamma 59.33
_space_group_name_H-M_alt 'P 1'
_space_group_IT_number 1
loop_
_space_group_symop_operation_xyz
'x,y,z'
loop_
_atom_site_label
_atom_site_fract_x
_atom_site_fract_y
_atom_site_fract_z
La1 0.2379 0.7430 0.7430
La2 0.2400 0.2400 0.2400
La3 0.2570 0.2570 0.7621
La4 0.2570 0.7621 0.2570
La5 0.7430 0.2379 0.7430
La6 0.7430 0.7430 0.2379
La7 0.7600 0.7600 0.7600
La8 0.7621 0.2570 0.2570
Si1 0.5000 0.5000 0.5000
P1 0.0000 0.0000 0.5000
P2 0.0000 0.5000 0.0000
P3 0.5000 0.0000 0.0000
Cl1 0.0000 0.0000 0.0000
Cl2 0.0000 0.5000 0.5000
Cl3 0.5000 0.0000 0.5000
Cl4 0.5000 0.5000 0.0000
```

Results
- SG: R-3m
- Total energy: -5.889 eV per atom
- Calculated volume: 27.56 Å³ per atom
- Magnetic moment: 0.000 μB per formula unit
- D(E_F): 8.84 states/eV/cell
- Uncorrected formation energy: -1610 meV/atom

---

[2]
LaHgPtAu | PBE-GGA | relaxed

Geometry as CIF:
```
data_LaHgPtAu
_chemical_formula_sum 'La2 Hg2 Pt2 Au2'
_cell_length_a 4.0964
_cell_length_b 4.0964
_cell_length_c 11.5788
_cell_angle_alpha 90.00
_cell_angle_beta 90.00
_cell_angle_gamma 90.00
_space_group_name_H-M_alt 'P 1'
_space_group_IT_number 1
loop_
_space_group_symop_operation_xyz
'x,y,z'
loop_
_atom_site_label
_atom_site_fract_x
_atom_site_fract_y
_atom_site_fract_z
La1 0.2500 0.2500 0.1765
La2 0.7500 0.7500 0.8235
Hg1 0.2500 0.7500 0.5000
Hg2 0.7500 0.2500 0.5000
Pt1 0.2500 0.2500 0.9239
Pt2 0.7500 0.7500 0.0761
Au1 0.2500 0.2500 0.6869
Au2 0.7500 0.7500 0.3131
```

Results
- SG: P4/nmm
- Total energy: -4.233 eV per atom
- Calculated volume: 24.29 Å³ per atom
- Formation enthalpy at 0 K: -0.596 eV per atom
- Magnetic moment: 0.000 μB per formula unit
- D(E_F): 2.51 states/eV/cell

---

[3]
La8TcNi3I4 | PBE-GGA | relaxed

Geometry as CIF:
```
data_La8TcNi3I4
_chemical_formula_sum 'La8 Tc1 Ni3 I4'
_cell_length_a 8.3982
_cell_length_b 8.3982
_cell_length_c 9.5972
_cell_angle_alpha 115.96
_cell_angle_beta 115.96
_cell_angle_gamma 60.00
_space_group_name_H-M_alt 'P 1'
_space_group_IT_number 1
loop_
_space_group_symop_operation_xyz
'x,y,z'
loop_
_atom_site_label
_atom_site_fract_x
_atom_site_fract_y
_atom_site_fract_z
La1 0.2262 0.2262 0.6880
La2 0.2264 0.7345 0.6870
La3 0.2655 0.7736 0.3130
La4 0.2732 0.2732 0.3207
La5 0.7268 0.7268 0.6793
La6 0.7345 0.2264 0.6870
La7 0.7736 0.2655 0.3130
La8 0.7738 0.7738 0.3120
Tc1 0.0000 0.0000 0.5000
Ni1 0.0000 0.5000 0.5000
Ni2 0.5000 0.0000 0.5000
Ni3 0.5000 0.5000 0.5000
I1 0.0000 0.0000 0.0000
I2 0.0000 0.5000 0.0000
I3 0.5000 0.0000 0.0000
I4 0.5000 0.5000 0.0000
```

Results
- SG: C2/m
- Total energy: -5.306 eV per atom
- Calculated volume: 31.61 Å³ per atom
- Magnetic moment: 0.000 μB per formula unit
- D(E_F): 6.85 states/eV/cell
- Uncorrected formation energy: -723 meV/atom

---

Q: The highest D(E_F) belongs to which entry?
A: La8SiP3Cl4